# PBE Cd2CoTe, relaxed
data_Cd2CoTe
_chemical_formula_sum 'Cd2 Co1 Te1'
_cell_length_a 3.919
_cell_length_b 3.919
_cell_length_c 5.510
_cell_angle_alpha 90.00
_cell_angle_beta 90.00
_cell_angle_gamma 90.00
_symmetry_space_group_name_H-M 'P 1'
_symmetry_Int_Tables_number 1
loop_
_symmetry_equiv_pos_as_xyz
'x,y,z'
loop_
_atom_site_label
_atom_site_fract_x
_atom_site_fract_y
_atom_site_fract_z
Cd1 0.000 0.000 0.489
Cd2 0.000 0.000 0.011
Te1 0.500 0.500 0.750
Co1 0.500 0.500 0.250
# - Raw formation energy: 0.33 eV per atom
# - Calculated density: 8.07 g/cm³